(1)
FeNiPt14, relaxed, DFT PBE; DOS at the Fermi energy = 26.72 states/eV per cell; electronic total energy = -6.221 eV/atom; V = 15.364 Å³/atom; total magnetization = 7.0 μB per formula unit; space-group type = No. 38
1.0
-4.797 1.418 -2.408
3.024 -4.161 -2.090
-4.472 -5.961 5.398
Ni Pt Fe
1 14 1
Direct
0.543 0.457 0.500
0.045 0.456 0.500
0.876 0.124 0.744
0.373 0.126 0.738
0.207 0.293 0.000
0.207 0.793 0.000
0.874 0.627 0.262
0.874 0.627 0.738
0.376 0.624 0.254
0.376 0.624 0.746
0.373 0.126 0.262
0.707 0.793 0.000
0.707 0.293 0.000
0.544 0.955 0.500
0.876 0.124 0.256
0.041 0.959 0.500


(2)
Fe2Ni3Pt5, relaxed, DFT PBE; DOS at the Fermi energy = 9.70 states/eV per cell; electronic total energy = -6.592 eV/atom; V = 13.751 Å³/atom; total magnetization = 9.8 μB per formula unit; space-group type = No. 12
1.0
-0.634 -3.524 1.040
3.393 -2.950 -1.240
-7.482 3.305 13.313
Ni Pt Fe
3 5 2
Direct
0.013 0.783 0.190
0.500 0.500 0.500
0.987 0.217 0.810
0.986 0.424 0.604
0.483 0.326 0.709
0.000 0.000 0.000
0.517 0.674 0.291
0.014 0.576 0.396
0.496 0.905 0.102
0.504 0.095 0.898


These records have ΔH_f (0 K) values of -0.05; -0.14 eV per atom, in the order they appear.